VASP calculation (SCAN) on a PBEsol-optimized structure of SiPt2Se.

Cell: 8.007 8.007 8.007 Å, 147.95 147.95 45.95°
Element x y z (fractional)
Si1 0.000 0.000 0.000
Si2 0.750 0.250 0.500
Pt1 0.095 0.625 0.970
Pt2 0.375 0.345 0.470
Pt3 0.655 0.125 0.030
Pt4 0.875 0.905 0.530
Se1 0.250 0.750 0.500
Se2 0.500 0.500 0.000

formation energy (no corrections): -93 kJ/mol of formula units
SG: No. 122
N(E_F): 0.3492 states/eV per atom
distance to the lowest polymorph of the same formula: 61 meV/atom


VASP calculation (SCAN) on a PBEsol-optimized structure of SiPtSe4.

Cell: 5.482 5.482 5.482 Å, 60.00 60.00 60.00°
Element x y z (fractional)
Si1 0.000 0.000 0.000
Pt1 0.250 0.250 0.250
Se1 0.130 0.623 0.623
Se2 0.623 0.130 0.623
Se3 0.623 0.623 0.130
Se4 0.623 0.623 0.623

formation energy (no corrections): 682 kJ/mol of formula units
SG: No. 216
N(E_F): 0.8894 states/eV per atom


VASP calculation (SCAN) on a PBEsol-optimized structure of SiPtSe.

Cell: 3.612 5.651 5.651 Å, 27.94 90.00 90.00°
Element x y z (fractional)
Si1 0.000 0.000 0.000
Pt1 0.500 0.413 0.413
Se1 0.000 0.215 0.215

formation energy (no corrections): -104 kJ/mol of formula units
SG: No. 38
N(E_F): 0.2758 states/eV per atom


VASP calculation (SCAN) on a PBEsol-optimized structure of Si2PtSe.

Cell: 9.460 9.460 9.460 Å, 17.58 17.58 17.58°
Element x y z (fractional)
Si1 0.000 0.000 0.000
Si2 0.262 0.262 0.262
Pt1 0.532 0.532 0.532
Se1 0.780 0.780 0.780

formation energy (no corrections): 108 kJ/mol of formula units
SG: No. 160
N(E_F): 0.4356 states/eV per atom


VASP calculation (SCAN) on a PBEsol-optimized structure of SiPt2Se.

Cell: 4.432 4.432 4.432 Å, 60.00 60.00 60.00°
Element x y z (fractional)
Si1 0.000 0.000 0.000
Pt1 0.250 0.250 0.250
Pt2 0.750 0.750 0.750
Se1 0.500 0.500 0.500

formation energy (no corrections): 43 kJ/mol of formula units
SG: No. 225
N(E_F): 0.3351 states/eV per atom
distance to the lowest polymorph of the same formula: 415 meV/atom


VASP calculation (SCAN) on a PBEsol-optimized structure of Si2PtSe.

Cell: 5.907 5.907 5.907 Å, 153.06 134.24 53.91°
Element x y z (fractional)
Si1 0.209 0.209 0.000
Si2 0.791 0.791 0.000
Pt1 0.000 0.500 0.500
Se1 0.500 0.000 0.500

formation energy (no corrections): 102 kJ/mol of formula units
SG: No. 71
N(E_F): 0.3848 states/eV per atom


VASP calculation (SCAN) on a PBEsol-optimized structure of SiPt2Se.

Cell: 6.624 6.624 6.624 Å, 32.52 32.52 32.52°
Element x y z (fractional)
Si1 0.000 0.000 0.000
Pt1 0.469 0.469 0.469
Pt2 0.712 0.712 0.712
Se1 0.198 0.198 0.198

formation energy (no corrections): -117 kJ/mol of formula units
SG: No. 160
N(E_F): 0.4281 states/eV per atom
distance to the lowest polymorph of the same formula: 0 meV/atom


VASP calculation (SCAN) on a PBEsol-optimized structure of SnPtSe3.

Cell: 5.099 5.099 5.099 Å, 90.00 90.00 90.00°
Element x y z (fractional)
Sn1 0.000 0.000 0.000
Pt1 0.500 0.500 0.500
Se1 0.000 0.000 0.500
Se2 0.000 0.500 0.000
Se3 0.500 0.000 0.000

formation energy (no corrections): 559 kJ/mol of formula units
SG: No. 221
N(E_F): 0.8855 states/eV per atom


VASP calculation (SCAN) on a PBEsol-optimized structure of Sn2PtWSe.

Cell: 5.043 5.043 5.065 Å, 90.00 90.00 90.00°
Element x y z (fractional)
Sn1 0.000 0.500 0.000
Sn2 0.500 0.000 0.000
Pt1 0.000 0.000 0.000
W1 0.000 0.000 0.500
Se1 0.500 0.500 0.500

formation energy (no corrections): 470 kJ/mol of formula units
SG: No. 123
N(E_F): 0.8267 states/eV per atom


VASP calculation (SCAN) on a PBEsol-optimized structure of SrPt2Se2.

Cell: 5.732 5.732 5.732 Å, 131.46 131.46 71.09°
Element x y z (fractional)
Sr1 0.000 0.000 0.000
Pt1 0.353 0.353 0.000
Pt2 0.647 0.647 0.000
Se1 0.250 0.750 0.500
Se2 0.750 0.250 0.500

formation energy (no corrections): -359 kJ/mol of formula units
SG: No. 139
N(E_F): 0.4863 states/eV per atom


VASP calculation (SCAN) on a PBEsol-optimized structure of SrPt3Se.

Cell: 5.060 5.060 5.060 Å, 90.00 90.00 90.00°
Element x y z (fractional)
Sr1 0.000 0.000 0.000
Pt1 0.000 0.000 0.500
Pt2 0.000 0.500 0.000
Pt3 0.500 0.000 0.000
Se1 0.500 0.500 0.500

formation energy (no corrections): 924 kJ/mol of formula units
SG: No. 221
N(E_F): 0.9291 states/eV per atom


VASP calculation (SCAN) on a PBEsol-optimized structure of SrPt2Se.

Cell: 5.726 5.716 4.061 Å, 69.35 69.07 41.58°
Element x y z (fractional)
Sr1 0.000 0.000 0.000
Pt1 0.000 0.500 0.500
Pt2 0.500 0.000 0.000
Se1 0.500 0.500 0.500

formation energy (no corrections): -161 kJ/mol of formula units
SG: No. 69
N(E_F): 0.4095 states/eV per atom


VASP calculation (SCAN) on a PBEsol-optimized structure of SrPtSe.

Cell: 5.751 5.751 5.751 Å, 142.64 142.64 53.87°
Element x y z (fractional)
Sr1 0.000 0.000 0.000
Pt1 0.712 0.712 0.000
Se1 0.279 0.279 0.000

formation energy (no corrections): -178 kJ/mol of formula units
SG: No. 107
N(E_F): 0.9239 states/eV per atom


VASP calculation (SCAN) on a PBEsol-optimized structure of SrPt2Se.

Cell: 4.036 4.162 4.564 Å, 90.00 90.00 90.00°
Element x y z (fractional)
Sr1 0.000 0.000 0.000
Pt1 0.000 0.500 0.500
Pt2 0.500 0.000 0.500
Se1 0.500 0.500 0.000

formation energy (no corrections): -144 kJ/mol of formula units
SG: No. 47
N(E_F): 0.5758 states/eV per atom


VASP calculation (SCAN) on a PBEsol-optimized structure of SrPtSe.

Cell: 4.359 4.359 4.139 Å, 90.00 90.00 120.00°
Element x y z (fractional)
Sr1 0.000 0.000 0.000
Pt1 0.667 0.333 0.500
Se1 0.333 0.667 0.500

formation energy (no corrections): -375 kJ/mol of formula units
SG: No. 187
N(E_F): 0.1176 states/eV per atom


VASP calculation (SCAN) on a PBEsol-optimized structure of Ta2PtSe.

Cell: 3.004 3.004 7.104 Å, 90.00 90.00 90.00°
Element x y z (fractional)
Ta1 0.000 0.000 0.236
Ta2 0.000 0.000 0.764
Pt1 0.500 0.500 0.500
Se1 0.500 0.500 0.000

formation energy (no corrections): -152 kJ/mol of formula units
SG: No. 123
N(E_F): 0.6799 states/eV per atom


VASP calculation (SCAN) on a PBEsol-optimized structure of TaPtSe2.

Cell: 6.768 6.768 6.768 Å, 129.01 129.01 74.99°
Element x y z (fractional)
Ta1 0.000 0.000 0.000
Ta2 0.750 0.250 0.500
Pt1 0.250 0.750 0.500
Pt2 0.500 0.500 0.000
Se1 0.127 0.625 0.002
Se2 0.375 0.377 0.502
Se3 0.623 0.125 0.998
Se4 0.875 0.873 0.498

formation energy (no corrections): 5 kJ/mol of formula units
SG: No. 122
N(E_F): 0.4520 states/eV per atom


VASP calculation (SCAN) on a PBEsol-optimized structure of Ta2Pt3Se8.

Cell: 10.821 15.008 3.551 Å, 90.00 90.00 90.00°
Element x y z (fractional)
Ta1 0.203 0.122 0.000
Ta2 0.297 0.622 0.000
Ta3 0.703 0.378 0.000
Ta4 0.797 0.878 0.000
Pt1 0.000 0.000 0.500
Pt2 0.138 0.721 0.500
Pt3 0.362 0.221 0.500
Pt4 0.500 0.500 0.500
Pt5 0.638 0.779 0.500
Pt6 0.862 0.279 0.500
Se1 0.034 0.160 0.500
Se2 0.059 0.622 0.000
Se3 0.226 0.995 0.500
Se4 0.237 0.292 0.000
Se5 0.263 0.792 0.000
Se6 0.274 0.495 0.500
Se7 0.441 0.122 0.000
Se8 0.466 0.660 0.500
Se9 0.534 0.340 0.500
Se10 0.559 0.878 0.000
Se11 0.726 0.505 0.500
Se12 0.737 0.208 0.000
Se13 0.763 0.708 0.000
Se14 0.774 0.005 0.500
Se15 0.941 0.378 0.000
Se16 0.966 0.840 0.500

formation energy (no corrections): -903 kJ/mol of formula units
SG: No. 55


VASP calculation (SCAN) on a PBEsol-optimized structure of Ta2PtSe.

Cell: 3.451 4.100 4.743 Å, 90.00 90.00 90.00°
Element x y z (fractional)
Ta1 0.000 0.000 0.000
Ta2 0.500 0.000 0.500
Pt1 0.000 0.500 0.500
Se1 0.500 0.500 0.000

formation energy (no corrections): -35 kJ/mol of formula units
SG: No. 47
N(E_F): 0.4237 states/eV per atom


VASP calculation (SCAN) on a PBEsol-optimized structure of TcPtSe2.

Cell: 5.140 5.140 2.665 Å, 90.00 90.00 107.66°
Element x y z (fractional)
Tc1 0.000 0.000 0.000
Pt1 0.500 0.500 0.000
Se1 0.000 0.500 0.000
Se2 0.500 0.000 0.000

formation energy (no corrections): 140 kJ/mol of formula units
SG: No. 65
N(E_F): 0.7894 states/eV per atom
distance to the lowest polymorph of the same formula: 329 meV/atom